Tb5BSe4 | Alexandria via LeMat-Bulk | PBE-GGA | relaxed; uncorrected formation energy = -1540 meV/atom
1.0
-4.547 4.547 2.860
4.547 -4.547 2.860
4.547 4.547 -2.860
Tb B Se
5 1 4
direct
0.000 0.000 0.000
0.230 0.592 0.822
0.408 0.230 0.638
0.592 0.770 0.362
0.770 0.408 0.178
0.500 0.500 0.000
0.093 0.304 0.397
0.304 0.907 0.211
0.696 0.093 0.789
0.907 0.696 0.603

=====

TcB3Se | Alexandria via LeMat-Bulk | PBE-GGA | relaxed; offset from the most stable computed form = 778 meV per atom; uncorrected formation energy = 2284 meV/atom
1.0
3.988 0.000 0.000
0.000 3.988 0.000
0.000 0.000 3.988
Tc B Se
1 3 1
direct
0.000 0.000 0.000
0.000 0.500 0.500
0.500 0.000 0.500
0.500 0.500 0.000
0.500 0.500 0.500

=====

TcB3Se | Alexandria via LeMat-Bulk | PBE-GGA | relaxed; offset from the most stable computed form = 0 meV per atom; uncorrected formation energy = 1507 meV/atom
1.0
4.173 0.000 0.000
0.000 4.173 0.000
0.000 0.000 4.173
Tc B Se
1 3 1
direct
0.000 0.000 0.000
0.000 0.000 0.500
0.000 0.500 0.000
0.500 0.000 0.000
0.500 0.500 0.500

=====

TcB2Se | Alexandria via LeMat-Bulk | PBE-GGA | relaxed; offset from the most stable computed form = 623 meV per atom; uncorrected formation energy = 1303 meV/atom
1.0
0.000 2.832 2.832
2.832 0.000 2.832
2.832 2.832 0.000
Tc B Se
1 2 1
direct
0.000 0.000 0.000
0.250 0.250 0.250
0.750 0.750 0.750
0.500 0.500 0.500